# 1
This record from the Alexandria database describes crystalline Mg2PtCl at its relaxed geometry. The functional is PBE.

The structure in POSCAR format:
```
Mg2PtCl
1.0
3.455 0.000 0.000
0.000 3.078 0.000
-0.008 0.000 7.272
Mg Pt Cl
2 1 1
Direct
0.001 0.000 0.208
0.999 0.000 0.792
0.500 0.500 0.000
0.000 0.500 0.500
```

energy above the lowest structure with this stoichiometry = 1 meV per atom
magnetic moment = 0.000 μB/atom
E_form (uncorrected) = -0.994 eV/atom
energy = -3.7628 eV/atom
calculated volume = 19.34 A^3/atom



# 2
This record from the Alexandria database describes crystalline TiGeRh2 at its relaxed geometry. The functional is PBE.

The structure in POSCAR format:
```
TiGeRh2
1.0
-1.378 2.330 5.003
1.378 -2.330 5.003
1.378 2.330 -5.003
Ti Ge Rh
1 1 2
Direct
0.000 0.000 0.000
0.500 0.500 0.000
0.237 0.237 0.000
0.763 0.763 0.000
```

energy of formation = -0.08 eV/atom
magnetic moment = 0.000 μB/atom
energy = -6.8862 eV/atom
calculated volume = 16.06 A^3/atom



# 3
This record from the Alexandria database describes crystalline ScAlCrGa at its relaxed geometry. The functional is PBE.

The structure in POSCAR format:
```
ScAlCrGa
1.0
0.000 3.199 3.199
3.199 0.000 3.199
3.199 3.199 0.000
Sc Al Cr Ga
1 1 1 1
Direct
0.000 0.000 0.000
0.750 0.750 0.750
0.500 0.500 0.500
0.250 0.250 0.250
```

energy of formation = -0.22 eV/atom
magnetic moment = 0.667 μB/atom
energy = -5.9026 eV/atom
calculated volume = 16.37 A^3/atom



# 4
This record from the Alexandria database describes crystalline Na2TiIr2S6 at its relaxed geometry. The functional is PBE.

The structure in POSCAR format:
```
Na2TiIr2S6
1.0
3.069 -5.338 0.000
3.069 5.338 0.000
-2.056 0.000 6.688
Na Ti Ir S
2 1 2 6
Direct
0.165 0.835 0.000
0.835 0.165 0.000
0.000 0.000 0.500
0.333 0.667 0.500
0.667 0.333 0.500
0.064 0.408 0.694
0.276 0.276 0.306
0.408 0.064 0.694
0.592 0.936 0.306
0.724 0.724 0.694
0.936 0.592 0.306
```

magnetic moment = 0.000 μB/atom
E_form (uncorrected) = -0.828 eV/atom
energy = -5.6480 eV/atom
calculated volume = 19.92 A^3/atom



# 5
This record from the Alexandria database describes crystalline CsK2TlAu at its relaxed geometry. The functional is PBE.

The structure in POSCAR format:
```
CsK2TlAu
1.0
6.484 0.000 0.000
0.000 6.484 0.000
0.000 0.000 5.905
Cs K Tl Au
1 2 1 1
Direct
0.000 0.000 0.000
0.000 0.500 0.500
0.500 0.000 0.500
0.500 0.500 0.000
0.500 0.500 0.500
```

energy of formation = -0.09 eV/atom
energy above the lowest structure with this stoichiometry = 0 meV per atom
magnetic moment = 0.000 μB/atom
energy = -1.8284 eV/atom
calculated volume = 49.65 A^3/atom



# 6
This record from the Alexandria database describes crystalline CdP2W at its relaxed geometry. The functional is PBE.

The structure in POSCAR format:
```
CdP2W
1.0
0.000 3.207 3.207
3.207 0.000 3.207
3.207 3.207 0.000
Cd P W
1 2 1
Direct
0.000 0.000 0.000
0.500 0.500 0.500
0.750 0.750 0.750
0.250 0.250 0.250
```

energy of formation = 1.03 eV/atom
energy above the lowest structure with this stoichiometry = 1059 meV per atom
magnetic moment = 0.157 μB/atom
energy = -5.1375 eV/atom
calculated volume = 16.49 A^3/atom